No. 1
Computed, not measured: a relaxed structure of InFeTe4 at the PBE-GGA level of DFT.

Results
- N(E_F) (states/eV/cell) = 9.7
- SG = No. 216
- crystal system = cubic
- calculated total energy (eV/atom) = -3.251

abc: 6.389 6.389 6.389
angles: 60.00 60.00 60.00
Last column: magnetic moment on the atom in μB.
Element x y z (fractional)
In: 0.000 0.000 0.000  0.01
Fe: 0.750 0.750 0.750  3.36
Te: 0.873 0.376 0.376  0.05
Te: 0.376 0.376 0.873  0.05
Te: 0.376 0.873 0.376  0.05
Te: 0.376 0.376 0.376  0.05

***

No. 2
Computed, not measured: a relaxed structure of AcSmTlPb at the PBE-GGA level of DFT.

Results
- E_form (eV/atom) = -0.3903
- N(E_F) (states/eV/cell) = 2.7
- SG = No. 216
- crystal system = cubic

abc: 5.689 5.689 5.689
angles: 60.00 60.00 60.00
Element x y z (fractional)
Pb: 0.000 0.000 0.000
Ac: 0.750 0.750 0.750
Tl: 0.500 0.500 0.500
Sm: 0.250 0.250 0.250

***

No. 3
Computed, not measured: a relaxed structure of ReGeP2S at the PBE-GGA level of DFT.

Results
- N(E_F) (states/eV/cell) = 3.4
- SG = No. 123
- crystal system = tetragonal
- calculated total energy (eV/atom) = -5.775

abc: 4.490 4.490 5.274
angles: 90.00 90.00 90.00
Last column: magnetic moment on the atom in μB.
Element x y z (fractional)
Re: 0.000 0.000 0.000  0.20
Ge: 0.500 0.500 0.500  0.05
S: 0.000 0.000 0.500  0.00
P: 0.000 0.500 0.000  -0.01
P: 0.500 0.000 0.000  -0.01

***

Size of the total moment / μB per formula unit: 4.0 0.0 0.3